Entry 1:
A relaxed structure of Hg2RuW, computed with GGA-PBE.

Structure (CIF):
```
data_Hg2RuW
_cell_length_a 4.028
_cell_length_b 4.028
_cell_length_c 8.759
_cell_angle_alpha 90.00
_cell_angle_beta 90.00
_cell_angle_gamma 90.00
_symmetry_space_group_name_H-M 'I 4/m m m'
_symmetry_Int_Tables_number 139
_symmetry_space_group_name_Hall '-I 4 2'
loop_
_atom_site_label
_atom_site_fract_x
_atom_site_fract_y
_atom_site_fract_z
Hg1 0.000 0.500 0.250
Ru1 0.000 0.000 0.000
W1 0.000 0.000 0.500
```

Calculated values
Uncorrected energy ... -4.8190 eV per atom
Excess energy over the best structure of this formula in the dataset ... 0.5644 eV/atom
Crystal system ... tetragonal
Energy of formation ... 0.8892 eV/atom

=====

Entry 2:
A relaxed structure of Hg2RuW, computed with GGA-PBE.

Structure (CIF):
```
data_Hg2RuW
_cell_length_a 2.979
_cell_length_b 4.874
_cell_length_c 4.949
_cell_angle_alpha 90.00
_cell_angle_beta 90.00
_cell_angle_gamma 90.00
_symmetry_space_group_name_H-M 'P m m m'
_symmetry_Int_Tables_number 47
loop_
_symmetry_equiv_pos_as_xyz
'x,y,z'
'-x,-y,-z'
'-x,-y,z'
'x,y,-z'
'x,-y,-z'
'-x,y,z'
'-x,y,-z'
'x,-y,z'
loop_
_atom_site_label
_atom_site_fract_x
_atom_site_fract_y
_atom_site_fract_z
Hg1 0.000 0.000 0.000
Hg2 0.500 0.500 0.000
Ru1 0.000 0.500 0.500
W1 0.500 0.000 0.500
```

Calculated values
Uncorrected energy ... -4.9064 eV per atom
Excess energy over the best structure of this formula in the dataset ... 0.4770 eV/atom
Crystal system ... orthorhombic
Energy of formation ... 0.8018 eV/atom

=====

Entry 3:
A relaxed structure of HgRu3W, computed with GGA-PBE.

Structure (CIF):
```
data_HgRu3W
_cell_length_a 4.705
_cell_length_b 4.705
_cell_length_c 4.705
_cell_angle_alpha 90.00
_cell_angle_beta 90.00
_cell_angle_gamma 90.00
_symmetry_space_group_name_H-M 'P m -3 m'
_symmetry_Int_Tables_number 221
_symmetry_space_group_name_Hall '-P 4 2 3'
loop_
_atom_site_label
_atom_site_fract_x
_atom_site_fract_y
_atom_site_fract_z
Hg1 0.000 0.000 0.000
Ru1 0.000 0.500 0.500
W1 0.500 0.500 0.500
```

Calculated values
Uncorrected energy ... -6.7032 eV per atom
Excess energy over the best structure of this formula in the dataset ... 0.0000 eV/atom
Crystal system ... cubic
Energy of formation ... 1.5133 eV/atom

=====

Entry 4:
A relaxed structure of HgRu4W, computed with GGA-PBE.

Structure (CIF):
```
data_HgRu4W
_cell_length_a 7.234
_cell_length_b 7.234
_cell_length_c 7.234
_cell_angle_alpha 90.00
_cell_angle_beta 90.00
_cell_angle_gamma 90.00
_symmetry_space_group_name_H-M 'F -4 3 m'
_symmetry_Int_Tables_number 216
_symmetry_space_group_name_Hall 'F -4 2 3'
loop_
_atom_site_label
_atom_site_fract_x
_atom_site_fract_y
_atom_site_fract_z
Hg1 0.000 0.000 0.000
Ru1 0.125 0.125 0.625
W1 0.250 0.250 0.250
```

Calculated values
Uncorrected energy ... -7.8496 eV per atom
Crystal system ... cubic
Energy of formation ... 0.5434 eV/atom

=====

Entry 5:
A relaxed structure of Hg2RuW, computed with GGA-PBE.

Structure (CIF):
```
data_Hg2RuW
_cell_length_a 2.951
_cell_length_b 4.360
_cell_length_c 5.516
_cell_angle_alpha 90.00
_cell_angle_beta 90.00
_cell_angle_gamma 90.00
_symmetry_space_group_name_H-M 'P m m m'
_symmetry_Int_Tables_number 47
loop_
_symmetry_equiv_pos_as_xyz
'x,y,z'
'-x,-y,-z'
'-x,-y,z'
'x,y,-z'
'x,-y,-z'
'-x,y,z'
'-x,y,-z'
'x,-y,z'
loop_
_atom_site_label
_atom_site_fract_x
_atom_site_fract_y
_atom_site_fract_z
Hg1 0.000 0.000 0.248
Ru1 0.500 0.500 0.000
W1 0.500 0.500 0.500
```

Calculated values
Uncorrected energy ... -4.8441 eV per atom
Excess energy over the best structure of this formula in the dataset ... 0.5392 eV/atom
Crystal system ... orthorhombic
Energy of formation ... 0.8640 eV/atom

=====

Entry 6:
A relaxed structure of Hg2RuW, computed with GGA-PBE.

Structure (CIF):
```
data_Hg2RuW
_cell_length_a 2.995
_cell_length_b 2.995
_cell_length_c 8.373
_cell_angle_alpha 90.00
_cell_angle_beta 90.00
_cell_angle_gamma 90.00
_symmetry_space_group_name_H-M 'P 4 m m'
_symmetry_Int_Tables_number 99
loop_
_symmetry_equiv_pos_as_xyz
'x,y,z'
'-y,x,z'
'-x,-y,z'
'y,-x,z'
'-x,y,z'
'y,x,z'
'x,-y,z'
'-y,-x,z'
loop_
_atom_site_label
_atom_site_fract_x
_atom_site_fract_y
_atom_site_fract_z
Hg1 0.000 0.000 0.000
Hg2 0.500 0.500 0.305
Ru1 0.000 0.000 0.562
W1 0.500 0.500 0.737
```

Calculated values
Uncorrected energy ... -5.3833 eV per atom
Excess energy over the best structure of this formula in the dataset ... 0.0000 eV/atom
Crystal system ... tetragonal
Energy of formation ... 0.3248 eV/atom

=====

Entry 7:
A relaxed structure of Hg4RuW, computed with GGA-PBE.

Structure (CIF):
```
data_Hg4RuW
_cell_length_a 7.834
_cell_length_b 7.834
_cell_length_c 7.834
_cell_angle_alpha 90.00
_cell_angle_beta 90.00
_cell_angle_gamma 90.00
_symmetry_space_group_name_H-M 'F -4 3 m'
_symmetry_Int_Tables_number 216
_symmetry_space_group_name_Hall 'F -4 2 3'
loop_
_atom_site_label
_atom_site_fract_x
_atom_site_fract_y
_atom_site_fract_z
Hg1 0.125 0.125 0.125
Ru1 0.250 0.250 0.750
W1 0.000 0.000 0.500
```

Calculated values
Uncorrected energy ... -2.6861 eV per atom
Crystal system ... cubic
Energy of formation ... 1.2199 eV/atom

=====

Entry 8:
A relaxed structure of Hg2RuW, computed with GGA-PBE.

Structure (CIF):
```
data_Hg2RuW
_cell_length_a 4.955
_cell_length_b 4.955
_cell_length_c 2.919
_cell_angle_alpha 90.00
_cell_angle_beta 90.00
_cell_angle_gamma 90.00
_symmetry_space_group_name_H-M 'P 4/m m m'
_symmetry_Int_Tables_number 123
_symmetry_space_group_name_Hall '-P 4 2'
loop_
_atom_site_label
_atom_site_fract_x
_atom_site_fract_y
_atom_site_fract_z
Hg1 0.000 0.500 0.000
Ru1 0.000 0.000 0.500
W1 0.500 0.500 0.500
```

Calculated values
Uncorrected energy ... -4.7478 eV per atom
Excess energy over the best structure of this formula in the dataset ... 0.6355 eV/atom
Crystal system ... tetragonal
Energy of formation ... 0.9604 eV/atom

=====

Entry 9:
A relaxed structure of Hg2RuW, computed with GGA-PBE.

Structure (CIF):
```
data_Hg2RuW
_cell_length_a 3.063
_cell_length_b 4.840
_cell_length_c 9.746
_cell_angle_alpha 90.00
_cell_angle_beta 90.00
_cell_angle_gamma 90.00
_symmetry_space_group_name_H-M 'C m m m'
_symmetry_Int_Tables_number 65
_symmetry_space_group_name_Hall '-C 2 2'
loop_
_atom_site_label
_atom_site_fract_x
_atom_site_fract_y
_atom_site_fract_z
Hg1 0.000 0.000 0.243
Ru1 0.000 0.500 0.000
W1 0.000 0.500 0.500
```

Calculated values
Uncorrected energy ... -4.8753 eV per atom
Excess energy over the best structure of this formula in the dataset ... 0.5081 eV/atom
Crystal system ... orthorhombic
Energy of formation ... 0.8329 eV/atom

=====

Entry 10:
A relaxed structure of Hg2RuW, computed with GGA-PBE.

Structure (CIF):
```
data_Hg2RuW
_cell_length_a 9.382
_cell_length_b 2.957
_cell_length_c 5.235
_cell_angle_alpha 90.00
_cell_angle_beta 99.56
_cell_angle_gamma 90.00
_symmetry_space_group_name_H-M 'C 1 m 1'
_symmetry_Int_Tables_number 8
loop_
_symmetry_equiv_pos_as_xyz
'x,y,z'
'x,-y,z'
'x+1/2,y+1/2,z'
'x+1/2,-y+1/2,z'
loop_
_atom_site_label
_atom_site_fract_x
_atom_site_fract_y
_atom_site_fract_z
Hg1 0.000 0.000 0.000
Hg2 0.239 0.000 0.753
Ru1 0.487 0.000 0.459
W1 0.255 0.500 0.287
```

Calculated values
Uncorrected energy ... -5.0513 eV per atom
Excess energy over the best structure of this formula in the dataset ... 0.3320 eV/atom
Crystal system ... monoclinic
Energy of formation ... 0.6569 eV/atom

=====

Entry 11:
A relaxed structure of Hg2RuW, computed with GGA-PBE.

Structure (CIF):
```
data_Hg2RuW
_cell_length_a 6.535
_cell_length_b 6.535
_cell_length_c 6.535
_cell_angle_alpha 90.00
_cell_angle_beta 90.00
_cell_angle_gamma 90.00
_symmetry_space_group_name_H-M 'F m -3 m'
_symmetry_Int_Tables_number 225
_symmetry_space_group_name_Hall '-F 4 2 3'
loop_
_atom_site_label
_atom_site_fract_x
_atom_site_fract_y
_atom_site_fract_z
Hg1 0.250 0.250 0.250
Ru1 0.000 0.000 0.000
W1 0.000 0.000 0.500
```

Calculated values
Uncorrected energy ... -4.7542 eV per atom
Excess energy over the best structure of this formula in the dataset ... 0.6291 eV/atom
Crystal system ... cubic
Energy of formation ... 0.9540 eV/atom

=====

Entry 12:
A relaxed structure of Hg2RuW, computed with GGA-PBE.

Structure (CIF):
```
data_Hg2RuW
_cell_length_a 3.022
_cell_length_b 4.931
_cell_length_c 10.096
_cell_angle_alpha 90.00
_cell_angle_beta 90.00
_cell_angle_gamma 90.00
_symmetry_space_group_name_H-M 'C m m 2'
_symmetry_Int_Tables_number 35
loop_
_symmetry_equiv_pos_as_xyz
'x,y,z'
'-x,-y,z'
'-x,y,z'
'x,-y,z'
'x+1/2,y+1/2,z'
'-x+1/2,-y+1/2,z'
'-x+1/2,y+1/2,z'
'x+1/2,-y+1/2,z'
loop_
_atom_site_label
_atom_site_fract_x
_atom_site_fract_y
_atom_site_fract_z
Hg1 0.000 0.000 0.000
Hg2 0.000 0.500 0.288
Ru1 0.000 0.000 0.540
W1 0.000 0.500 0.741
```

Calculated values
Uncorrected energy ... -5.2012 eV per atom
Excess energy over the best structure of this formula in the dataset ... 0.1822 eV/atom
Crystal system ... orthorhombic
Energy of formation ... 0.5070 eV/atom

=====

Entry 13:
A relaxed structure of Hg2RuW, computed with GGA-PBE.

Structure (CIF):
```
data_Hg2RuW
_cell_length_a 2.9483
_cell_length_b 2.9483
_cell_length_c 28.2329
_cell_angle_alpha 90.00
_cell_angle_beta 90.00
_cell_angle_gamma 120.00
_symmetry_space_group_name_H-M 'R -3 m'
_symmetry_Int_Tables_number 166
_symmetry_space_group_name_Hall '-R 3 2"'
loop_
_atom_site_label
_atom_site_fract_x
_atom_site_fract_y
_atom_site_fract_z
Hg1 0.0000 0.0000 0.2480
Ru1 0.0000 0.0000 0.5000
W1 0.0000 0.0000 0.0000
```

Calculated values
Uncorrected energy ... -4.9450 eV per atom
Excess energy over the best structure of this formula in the dataset ... 0.4384 eV/atom
Crystal system ... trigonal
Energy of formation ... 0.7632 eV/atom

=====

Entry 14:
A relaxed structure of Hg2RuW, computed with GGA-PBE.

Structure (CIF):
```
data_Hg2RuW
_cell_length_a 4.240
_cell_length_b 4.240
_cell_length_c 7.827
_cell_angle_alpha 90.00
_cell_angle_beta 90.00
_cell_angle_gamma 90.00
_symmetry_space_group_name_H-M 'I -4 m 2'
_symmetry_Int_Tables_number 119
_symmetry_space_group_name_Hall 'I -4 -2'
loop_
_atom_site_label
_atom_site_fract_x
_atom_site_fract_y
_atom_site_fract_z
Hg1 0.000 0.000 0.000
Hg2 0.000 0.500 0.250
Ru1 0.000 0.500 0.750
W1 0.000 0.000 0.500
```

Calculated values
Uncorrected energy ... -4.9113 eV per atom
Excess energy over the best structure of this formula in the dataset ... 0.4720 eV/atom
Crystal system ... tetragonal
Energy of formation ... 0.7969 eV/atom